[1]
Density functional theory data (PBE) for an optimized crystal structure of Sr2AsO5.

Structure (extended XYZ):
```
8
Lattice="-2.8885 2.8885 3.8349 2.8885 -2.8885 3.8349 2.8885 2.8885 -3.8349" Properties=species:S:1:pos:R:3 pbc="T T T"
Sr 2.8885 0.0000 0.0000
Sr 0.0000 2.8885 0.0000
As 0.0000 0.0000 1.7954
O 0.0000 0.0000 0.0839
O 1.6471 1.6471 -1.6023
O 1.2414 -1.2414 2.2326
O -1.2414 1.2414 2.2326
O 1.2414 1.2414 2.2326
```

Values from the calculation:
Calculated density in g/cm³: 4.3
ΔE to the lowest computed polymorph in eV/atom: 0.000
Calculated volume in Å³ per atom: 16.0
N(E_F) in states/eV per cell: 2.987
Raw formation energy in kJ per mole of atoms: -189

***

[2]
Density functional theory data (PBE) for an optimized crystal structure of Sr2AsO.

Structure (extended XYZ):
```
4
Lattice="1.9359 1.1177 7.2885 -1.9359 1.1177 7.2885 0.0000 -2.2354 7.2885" Properties=species:S:1:pos:R:3 pbc="T T T"
Sr 0.0000 0.0000 5.0990
Sr 0.0000 0.0000 16.7664
As 0.0000 0.0000 0.0000
O 0.0000 0.0000 10.9327
```

Values from the calculation:
Calculated density in g/cm³: 4.7
ΔE to the lowest computed polymorph in eV/atom: 0.000
Calculated volume in Å³ per atom: 23.7
N(E_F) in states/eV per cell: 1.178
Raw formation energy in kJ per mole of atoms: -163

***

[3]
Density functional theory data (PBE) for an optimized crystal structure of SrAs3O.

Structure (extended XYZ):
```
5
Lattice="4.6126 0.0000 0.0000 0.0000 4.6126 0.0000 0.0000 0.0000 4.6126" Properties=species:S:1:pos:R:3 pbc="T T T"
Sr 0.0000 0.0000 0.0000
As 0.0000 2.3063 2.3063
As 2.3063 0.0000 2.3063
As 2.3063 2.3063 0.0000
O 2.3063 2.3063 2.3063
```

Values from the calculation:
Calculated density in g/cm³: 5.6
ΔE to the lowest computed polymorph in eV/atom: 0.000
Calculated volume in Å³ per atom: 19.6
N(E_F) in states/eV per cell: 3.181
Raw formation energy in kJ per mole of atoms: -29

***

[4]
Density functional theory data (PBE) for an optimized crystal structure of SrAs3O.

Structure (extended XYZ):
```
5
Lattice="5.7076 0.0000 0.0000 0.0000 5.7076 0.0000 0.0000 0.0000 5.7076" Properties=species:S:1:pos:R:3 pbc="T T T"
Sr 0.0000 0.0000 0.0000
As 0.0000 0.0000 2.8538
As 0.0000 2.8538 0.0000
As 2.8538 0.0000 0.0000
O 2.8538 2.8538 2.8538
```

Values from the calculation:
Calculated density in g/cm³: 2.9
ΔE to the lowest computed polymorph in eV/atom: 1.934
Calculated volume in Å³ per atom: 37.2
N(E_F) in states/eV per cell: 23.281
Raw formation energy in kJ per mole of atoms: 158

***

[5]
Density functional theory data (PBE) for an optimized crystal structure of SrAs2O.

Structure (extended XYZ):
```
8
Lattice="-2.6643 2.6643 6.7358 2.6643 -2.6643 6.7358 2.6643 2.6643 -6.7358" Properties=species:S:1:pos:R:3 pbc="T T T"
Sr 2.6643 1.3322 1.6840
Sr 0.0000 1.3322 5.0519
As 0.0000 0.0000 0.0000
As 1.3322 1.3322 -3.3679
As 1.3322 -1.3322 3.3679
As 0.0000 2.6643 0.0000
O 2.6643 -1.3322 5.0519
O 0.0000 3.9965 1.6840
```

Values from the calculation:
Calculated density in g/cm³: 4.4
Calculated volume in Å³ per atom: 23.9
N(E_F) in states/eV per cell: 2.569
Raw formation energy in kJ per mole of atoms: -59

***

[6]
Density functional theory data (PBE) for an optimized crystal structure of Sr3TaAs3O.

Structure (extended XYZ):
```
32
Lattice="6.4519 0.0000 0.0000 0.0000 10.7863 0.0000 0.0000 0.0000 13.0796" Properties=species:S:1:pos:R:3 pbc="T T T"
Sr 1.4990 2.6966 1.6836
Sr 1.5848 5.8560 4.8646
Sr 1.5848 10.3234 4.8646
Sr 1.6411 0.4629 11.4045
Sr 1.6411 4.9302 11.4045
Sr 1.7269 8.0897 8.2234
Sr 4.7250 2.6966 4.8563
Sr 4.8108 5.8560 1.6752
Sr 4.8108 10.3234 1.6752
Sr 4.8671 0.4629 8.2150
Sr 4.8671 4.9302 8.2150
Sr 4.9528 8.0897 11.3961
Ta 1.0201 2.6966 7.1716
Ta 2.2058 8.0897 0.6317
Ta 4.2460 2.6966 12.4479
Ta 5.4318 8.0897 5.9081
As 1.5255 2.6966 4.7579
As 1.5281 5.9166 1.6178
As 1.5281 10.2628 1.6178
As 1.6979 0.5234 8.1576
As 1.6979 4.8697 8.1576
As 1.7004 8.0897 11.2977
As 4.7515 2.6966 1.7820
As 4.7540 5.9166 4.9220
As 4.7540 10.2628 4.9220
As 4.9238 0.5234 11.4619
As 4.9238 4.8697 11.4619
As 4.9263 8.0897 8.3218
O 0.8693 8.0897 5.8271
O 2.3567 2.6966 12.3669
O 4.0952 8.0897 0.7127
O 5.5826 2.6966 7.2525
```

Values from the calculation:
Calculated density in g/cm³: 5.0
Calculated volume in Å³ per atom: 28.4
Raw formation energy in kJ per mole of atoms: -142